The following is a PBE calculation of a relaxed structure of BAuSCl2, from the Alexandria database.

abc: 4.981 4.981 4.896
angles: 90.00 90.00 90.00
Space group P4/mmm (No. 123)
Symmetry-distinct sites (fractional):
B1 0.000 0.000 0.000 (multiplicity 1)
Au1 0.500 0.500 0.500 (multiplicity 1)
S1 0.500 0.500 0.000 (multiplicity 1)
Cl1 0.000 0.500 0.500 (multiplicity 2)

Results
E_form (uncorrected) ... 106 kJ per mole of atoms
N(E_F) ... 3.8 states/eV/f.u.
Density ... 4.2 Mg/m³
Energy relative to the lowest polymorph listed for this composition ... 0.482 eV/atom

The following is a PBE calculation of a relaxed structure of B2AuSeCl, from the Alexandria database.

abc: 3.939 3.939 6.357
angles: 90.00 90.00 90.00
Space group P4/mmm (No. 123)
Symmetry-distinct sites (fractional):
B1 0.000 0.500 0.000 (multiplicity 2)
Au1 0.000 0.000 0.500 (multiplicity 1)
Se1 0.500 0.500 0.500 (multiplicity 1)
Cl1 0.000 0.000 0.000 (multiplicity 1)

Results
E_form (uncorrected) ... 179 kJ per mole of atoms
N(E_F) ... 2.6 states/eV/f.u.
Density ... 5.6 Mg/m³